# 1
Below is crystalline PmAgSbP at its relaxed geometry, with properties calculated at the PBE-GGA level.

a b c (Å): 5.0300 5.0300 5.0300
angles (deg): 60.00 60.00 60.00
Last column: nearest neighbours and their distance in Å.
Fractional positions:
Sb1 0.2500 0.2500 0.2500  4 Ag 3.08, 4 P 3.08
P1 0.0000 0.0000 0.0000  4 Pm 3.08, 4 Sb 3.08
Ag1 0.5000 0.5000 0.5000  4 Sb 3.08, 4 Pm 3.08
Pm1 0.7500 0.7500 0.7500  4 Ag 3.08, 4 P 3.08

Calculated values
**DOS(E_F)**: 0.70 states/eV per atom
**Final energy**: -18.2 eV/cell
**Symmetry**: No. 216
**M_tot**: 0.00 μB per atom



# 2
Below is crystalline Pr2AgP at its relaxed geometry, with properties calculated at the PBE-GGA level.

a b c (Å): 4.1373 4.1373 7.9639
angles (deg): 74.97 74.97 60.03
Last column: nearest neighbours and their distance in Å.
Fractional positions:
Pr1 0.0720 0.0720 0.7839  3 P 2.90, 3 Ag 3.22
Pr2 0.2616 0.2616 0.2152  3 P 2.89, 3 Ag 3.22
Ag1 0.5001 0.5001 0.4998  6 Pr 3.22
P1 0.6663 0.6663 0.0011  6 Pr 2.89-2.90

Calculated values
**DOS(E_F)**: 0.55 states/eV per atom
**Final energy**: -21.0 eV/cell
**ΔH_f (0 K)**: -0.8031 eV per atom
**Symmetry**: No. 160
**M_tot**: 0.00 μB per atom



# 3
Below is crystalline Pr2AgP at its relaxed geometry, with properties calculated at the PBE-GGA level.

a b c (Å): 4.2228 4.2228 7.7607
angles (deg): 74.21 74.21 60.00
Last column: nearest neighbours and their distance in Å.
Fractional positions:
Pr1 0.2622 0.2622 0.2135  3 P 2.90, 3 Ag 3.23
Pr2 0.7378 0.7378 0.7865  3 P 2.90, 3 Ag 3.23
P1 0.0000 0.0000 0.0000  6 Pr 2.90
Ag1 0.5000 0.5000 0.5000  6 Pr 3.23

Calculated values
**DOS(E_F)**: 1.12 states/eV per atom
**Final energy**: -21.0 eV/cell
**ΔH_f (0 K)**: -0.7961 eV per atom
**Symmetry**: No. 166
**M_tot**: 0.00 μB per atom



# 4
Below is crystalline Pr2AgP at its relaxed geometry, with properties calculated at the PBE-GGA level.

a b c (Å): 3.7190 3.7190 7.2269
angles (deg): 90.00 90.00 90.00
Last column: nearest neighbours and their distance in Å.
Fractional positions:
Pr1 0.0000 0.0000 0.7734  4 P 3.10, 1 Pr 3.27, 4 Ag 3.29
Pr2 0.0000 0.0000 0.2266  4 P 3.10, 1 Pr 3.27, 4 Ag 3.29
P1 0.5000 0.5000 0.0000  8 Pr 3.10
Ag1 0.5000 0.5000 0.5000  8 Pr 3.29, 2 P 3.61

Calculated values
**DOS(E_F)**: 0.82 states/eV per atom
**Final energy**: -20.6 eV/cell
**ΔH_f (0 K)**: -0.6936 eV per atom
**Symmetry**: No. 123
**M_tot**: 0.00 μB per atom



# 5
Below is crystalline PrAgP at its relaxed geometry, with properties calculated at the PBE-GGA level.

a b c (Å): 4.3734 6.4659 10.2762
angles (deg): 90.00 90.00 90.00
Last column: nearest neighbours and their distance in Å.
Fractional positions:
Ag1 0.7500 0.0460 0.0833  3 P 2.62-2.69, 2 Ag 2.84
Ag2 0.2500 0.5460 0.4167  3 P 2.62-2.69, 2 Ag 2.84
Ag3 0.2500 0.9540 0.9167  3 P 2.62-2.69, 2 Ag 2.84
Ag4 0.7500 0.4540 0.5833  3 P 2.62-2.69, 2 Ag 2.84
P1 0.7500 0.7700 0.4133  3 Ag 2.62-2.69, 4 Pr 2.89-2.93
P2 0.2500 0.2700 0.0867  3 Ag 2.62-2.69, 4 Pr 2.89-2.93
P3 0.2500 0.2300 0.5867  3 Ag 2.62-2.69, 4 Pr 2.89-2.93
P4 0.7500 0.7300 0.9133  3 Ag 2.62-2.69, 4 Pr 2.89-2.93
Pr1 0.7500 0.5400 0.1678  4 P 2.89-2.93
Pr2 0.2500 0.0400 0.3322  4 P 2.89-2.93
Pr3 0.2500 0.4600 0.8322  4 P 2.89-2.93
Pr4 0.7500 0.9600 0.6678  4 P 2.89-2.93

Calculated values
**DOS(E_F)**: 0.64 states/eV per atom
**Final energy**: -60.4 eV/cell
**ΔH_f (0 K)**: -0.6826 eV per atom
**Symmetry**: No. 62
**M_tot**: 0.00 μB per atom



# 6
Below is crystalline Pr4AgTe2P at its relaxed geometry, with properties calculated at the PBE-GGA level.

a b c (Å): 4.3508 7.7338 7.6439
angles (deg): 108.45 90.00 90.00
Last column: nearest neighbours and their distance in Å.
Fractional positions:
Pr1 0.5000 0.2260 0.2228  2 P 2.97, 1 Ag 3.11, 3 Te 3.14-3.30
Pr2 0.5000 0.7740 0.7772  2 P 2.97, 1 Ag 3.11, 3 Te 3.14-3.30
Pr3 0.0000 0.2402 0.7645  1 P 2.97, 2 Ag 3.12, 3 Te 3.15-3.27
Pr4 0.0000 0.7598 0.2355  1 P 2.97, 2 Ag 3.12, 3 Te 3.15-3.27
Ag1 0.5000 0.5000 0.0000  6 Pr 3.11-3.12
Te1 0.5000 0.0000 0.5000  6 Pr 3.14-3.15
Te2 0.0000 0.5000 0.5000  6 Pr 3.27-3.30
P1 0.0000 0.0000 0.0000  6 Pr 2.97

Calculated values
**DOS(E_F)**: 0.58 states/eV per atom
**Final energy**: -42.9 eV/cell
**Symmetry**: No. 10
**M_tot**: 0.00 μB per atom



# 7
Below is crystalline PrZnAgP2 at its relaxed geometry, with properties calculated at the PBE-GGA level.

a b c (Å): 4.1937 4.1937 6.8226
angles (deg): 90.00 90.00 120.00
Last column: nearest neighbours and their distance in Å.
Fractional positions:
Pr1 0.0000 0.0000 0.9870  6 P 2.91-3.03
Zn1 0.6667 0.3333 0.3740  4 P 2.56
Ag1 0.3333 0.6667 0.6370  4 P 2.54-2.62
P1 0.3333 0.6667 0.2528  3 Zn 2.56, 1 Ag 2.62
P2 0.6667 0.3333 0.7492  3 Ag 2.54, 1 Zn 2.56

Calculated values
**DOS(E_F)**: 0.01 states/eV per atom
**Final energy**: -23.0 eV/cell
**ΔH_f (0 K)**: -0.6596 eV per atom
**Symmetry**: No. 156
**M_tot**: 0.00 μB per atom



# 8
Below is crystalline AgPPt2 at its relaxed geometry, with properties calculated at the PBE-GGA level.

a b c (Å): 6.4634 6.4634 6.4634
angles (deg): 152.16 147.26 43.51
Last column: nearest neighbours and their distance in Å.
Fractional positions:
Ag1 0.5546 0.5546 0.0000  6 Pt 2.83-2.84, 2 Ag 3.11, 2 P 3.15
P1 0.7828 0.2828 0.5000  6 Pt 2.33-2.46
Pt1 0.9278 0.9278 0.0000  2 P 2.33
Pt2 0.2349 0.7349 0.5000  4 P 2.46

Calculated values
**DOS(E_F)**: 0.33 states/eV per atom
**Final energy**: -20.7 eV/cell
**ΔH_f (0 K)**: -0.0887 eV per atom
**Symmetry**: No. 44
**M_tot**: 0.00 μB per atom



# 9
Below is crystalline AgP2Pt at its relaxed geometry, with properties calculated at the PBE-GGA level.

a b c (Å): 3.0438 3.0438 6.9517
angles (deg): 90.00 90.00 90.00
Last column: nearest neighbours and their distance in Å.
Fractional positions:
Ag1 0.5000 0.5000 0.7500  8 P 2.89, 4 Ag 3.04
P1 0.0000 0.0000 0.0279  4 Pt 2.65, 4 Ag 2.89
P2 0.0000 0.0000 0.4721  4 Pt 2.65, 4 Ag 2.89
Pt1 0.5000 0.5000 0.2500  8 P 2.65

Calculated values
**DOS(E_F)**: 0.27 states/eV per atom
**Final energy**: -18.9 eV/cell
**Relative energy among the computed polymorphs**: 0.306 eV per atom
**ΔH_f (0 K)**: 0.2148 eV per atom
**Symmetry**: No. 123
**M_tot**: 0.00 μB per atom



# 10
Below is crystalline AgPPt2 at its relaxed geometry, with properties calculated at the PBE-GGA level.

a b c (Å): 2.9405 3.7037 6.0787
angles (deg): 90.00 90.00 90.00
Last column: nearest neighbours and their distance in Å.
Fractional positions:
Ag1 0.0000 0.0000 0.4876  6 Pt 2.86-3.19, 2 Ag 2.94, 4 P 3.13
P1 0.5000 0.5000 0.8260  5 Pt 2.42-2.50
Pt1 0.0000 0.0000 0.9621  4 P 2.50
Pt2 0.5000 0.5000 0.2243  1 P 2.42

Calculated values
**DOS(E_F)**: 0.62 states/eV per atom
**Final energy**: -20.4 eV/cell
**ΔH_f (0 K)**: -0.0023 eV per atom
**Symmetry**: No. 25
**M_tot**: 0.00 μB per atom



# 11
Below is crystalline AgP2Pt at its relaxed geometry, with properties calculated at the PBE-GGA level.

a b c (Å): 4.5043 4.5043 4.5043
angles (deg): 60.00 60.00 60.00
Last column: nearest neighbours and their distance in Å.
Fractional positions:
Ag1 0.5000 0.5000 0.5000  4 Pt 2.76, 4 P 2.76
P1 0.0000 0.0000 0.0000  4 P 2.76, 4 Pt 2.76
P2 0.7500 0.7500 0.7500  4 Ag 2.76, 4 P 2.76
Pt1 0.2500 0.2500 0.2500  4 P 2.76, 4 Ag 2.76

Calculated values
**DOS(E_F)**: 0.79 states/eV per atom
**Final energy**: -17.6 eV/cell
**Relative energy among the computed polymorphs**: 0.609 eV per atom
**ΔH_f (0 K)**: 0.5178 eV per atom
**Symmetry**: No. 216
**M_tot**: 0.00 μB per atom



# 12
Below is crystalline Ag4PPt at its relaxed geometry, with properties calculated at the PBE-GGA level.

a b c (Å): 5.3665 5.3665 5.3665
angles (deg): 60.00 60.00 60.00
Last column: nearest neighbours and their distance in Å.
Fractional positions:
Ag1 0.6252 0.6252 0.1245  6 Ag 2.68-2.69
Ag2 0.6252 0.1245 0.6252  6 Ag 2.68-2.69
Ag3 0.6252 0.6252 0.6252  6 Ag 2.68-2.69
Ag4 0.1245 0.6252 0.6252  6 Ag 2.68-2.69
P1 0.2500 0.2500 0.2500  12 Ag 3.15, 4 Pt 3.29
Pt1 0.0000 0.0000 0.0000  12 Ag 3.15, 4 P 3.29

Calculated values
**DOS(E_F)**: 0.43 states/eV per atom
**Final energy**: -19.8 eV/cell
**ΔH_f (0 K)**: 0.5106 eV per atom
**Symmetry**: No. 216
**M_tot**: 0.00 μB per atom



# 13
Below is crystalline AgPPt2 at its relaxed geometry, with properties calculated at the PBE-GGA level.

a b c (Å): 8.3801 8.3801 8.3801
angles (deg): 21.00 21.00 21.00
Last column: nearest neighbours and their distance in Å.
Fractional positions:
Ag1 0.4964 0.4964 0.4964  3 P 2.84, 3 Pt 2.85, 6 Ag 3.05
P1 0.7393 0.7393 0.7393  3 Pt 2.34
Pt1 0.0100 0.0100 0.0100  3 P 2.34
Pt2 0.2543 0.2543 0.2543  9 Pt 2.81-3.05, 3 Ag 2.85

Calculated values
**DOS(E_F)**: 0.57 states/eV per atom
**Final energy**: -20.3 eV/cell
**ΔH_f (0 K)**: 0.0107 eV per atom
**Symmetry**: No. 160
**M_tot**: 0.00 μB per atom



# 14
Below is crystalline AgPPt2 at its relaxed geometry, with properties calculated at the PBE-GGA level.

a b c (Å): 4.9918 4.9918 4.9918
angles (deg): 133.95 133.95 67.17
Last column: nearest neighbours and their distance in Å.
Fractional positions:
Ag1 0.5000 0.5000 0.0000  8 Pt 2.76-2.85, 4 P 2.85
P1 0.7500 0.2500 0.5000  8 Pt 2.76-2.85, 4 Ag 2.85
Pt1 0.0000 0.0000 0.0000  4 Ag 2.76, 4 Pt 2.85, 4 P 2.85
Pt2 0.2500 0.7500 0.5000  4 P 2.76, 4 Ag 2.85, 4 Pt 2.85

Calculated values
**DOS(E_F)**: 0.76 states/eV per atom
**Final energy**: -19.6 eV/cell
**ΔH_f (0 K)**: 0.1915 eV per atom
**Symmetry**: No. 119
**M_tot**: 0.00 μB per atom



# 15
Below is crystalline AgPPt2 at its relaxed geometry, with properties calculated at the PBE-GGA level.

a b c (Å): 5.1494 5.1494 5.1494
angles (deg): 143.22 127.44 65.86
Last column: nearest neighbours and their distance in Å.
Fractional positions:
Ag1 0.2500 0.7500 0.5000  4 P 2.80, 8 Pt 2.86-3.06
P1 0.7500 0.2500 0.5000  4 Pt 2.37
Pt1 0.9502 0.9502 0.0000  2 P 2.37
Pt2 0.5498 0.5498 0.0000  2 P 2.37

Calculated values
**DOS(E_F)**: 0.52 states/eV per atom
**Final energy**: -20.5 eV/cell
**ΔH_f (0 K)**: -0.0494 eV per atom
**Symmetry**: No. 71
**M_tot**: 0.00 μB per atom



# 16
Below is crystalline AgP2Pt at its relaxed geometry, with properties calculated at the PBE-GGA level.

a b c (Å): 5.0615 5.0615 5.0615
angles (deg): 135.34 135.34 65.00
Last column: nearest neighbours and their distance in Å.
Fractional positions:
Ag1 0.7500 0.2500 0.5000  8 P 2.72-2.87, 4 Pt 2.87
P1 0.0000 0.0000 0.0000  4 Pt 2.72, 4 P 2.87, 4 Ag 2.87
P2 0.2500 0.7500 0.5000  4 Ag 2.72, 4 Pt 2.87, 4 P 2.87
Pt1 0.5000 0.5000 0.0000  8 P 2.72-2.87, 4 Ag 2.87

Calculated values
**DOS(E_F)**: 0.43 states/eV per atom
**Final energy**: -18.3 eV/cell
**Relative energy among the computed polymorphs**: 0.438 eV per atom
**ΔH_f (0 K)**: 0.3464 eV per atom
**Symmetry**: No. 119
**M_tot**: 0.00 μB per atom



# 17
Below is crystalline AgP2Pt at its relaxed geometry, with properties calculated at the PBE-GGA level.

a b c (Å): 3.9057 3.9057 5.6933
angles (deg): 86.57 86.57 56.91
Last column: nearest neighbours and their distance in Å.
Fractional positions:
P1 0.9385 0.9385 0.0670  3 Pt 2.43-2.49, 1 Ag 2.56
P2 0.2716 0.2716 0.4334  3 Pt 2.41-2.48, 2 Ag 2.62
Ag1 0.6916 0.6916 0.7487  3 P 2.56-2.62
Pt1 0.5983 0.5983 0.2509  6 P 2.41-2.49

Calculated values
**DOS(E_F)**: 0.38 states/eV per atom
**Final energy**: -20.0 eV/cell
**Relative energy among the computed polymorphs**: 0.008 eV per atom
**ΔH_f (0 K)**: -0.0829 eV per atom
**Symmetry**: No. 8
**M_tot**: 0.00 μB per atom



# 18
Below is crystalline AgP2Pt at its relaxed geometry, with properties calculated at the PBE-GGA level.

a b c (Å): 7.1996 7.1996 7.1996
angles (deg): 26.20 26.20 26.20
Last column: nearest neighbours and their distance in Å.
Fractional positions:
Ag1 0.7439 0.7439 0.7439  3 P 2.67, 3 Pt 2.88
P1 0.9864 0.9864 0.9864  3 P 2.32
P2 0.2547 0.2547 0.2547  3 P 2.32, 3 Pt 2.42
Pt1 0.5151 0.5151 0.5151  3 P 2.42

Calculated values
**DOS(E_F)**: 0.25 states/eV per atom
**Final energy**: -19.6 eV/cell
**Relative energy among the computed polymorphs**: 0.126 eV per atom
**ΔH_f (0 K)**: 0.0350 eV per atom
**Symmetry**: No. 160
**M_tot**: 0.00 μB per atom



# 19
Below is crystalline AgPPt2 at its relaxed geometry, with properties calculated at the PBE-GGA level.

a b c (Å): 4.3256 3.2799 5.1259
angles (deg): 71.53 90.00 90.00
Last column: nearest neighbours and their distance in Å.
Fractional positions:
Ag1 0.0000 0.5478 0.5247  3 Pt 2.62-2.78
P1 0.5000 0.9048 0.8154  4 Pt 2.31-2.40
Pt1 0.0000 0.8208 0.9849  2 P 2.31
Pt2 0.5000 0.2266 0.1750  2 P 2.40

Calculated values
**DOS(E_F)**: 0.27 states/eV per atom
**Final energy**: -20.5 eV/cell
**ΔH_f (0 K)**: -0.0437 eV per atom
**Symmetry**: No. 6
**M_tot**: 0.00 μB per atom



# 20
Below is crystalline AgP2Pt at its relaxed geometry, with properties calculated at the PBE-GGA level.

a b c (Å): 5.8153 5.8153 5.8153
angles (deg): 151.35 131.22 57.55
Last column: nearest neighbours and their distance in Å.
Fractional positions:
Ag1 0.7500 0.2500 0.5000  4 Pt 2.80, 2 Ag 2.88, 4 P 3.11
P1 0.0555 0.0555 0.0000  2 Pt 2.45
P2 0.4445 0.4445 0.0000  2 Pt 2.45
Pt1 0.2500 0.7500 0.5000  4 P 2.45

Calculated values
**DOS(E_F)**: 0.32 states/eV per atom
**Final energy**: -18.9 eV/cell
**Relative energy among the computed polymorphs**: 0.288 eV per atom
**ΔH_f (0 K)**: 0.1967 eV per atom
**Symmetry**: No. 71
**M_tot**: 0.00 μB per atom